1.
Density functional theory data (PBEsol) for Li2CdNi after structural relaxation.

a = 3.765 Å, b = 3.765 Å, c = 7.933 Å
α = 90.00°, β = 90.00°, γ = 90.00°
Space group I4/mmm (No. 139)
Asymmetric unit:
Li (0.000, 0.500, 0.250) [4 per cell]
Cd (0.000, 0.000, 0.000) [2 per cell]
Ni (0.000, 0.000, 0.500) [2 per cell]

Calculated values
* energy relative to the elements: -48 meV/atom

2.
Density functional theory data (PBEsol) for Li2CdNi after structural relaxation.

a = 2.7650 Å, b = 2.7650 Å, c = 26.6787 Å
α = 90.00°, β = 90.00°, γ = 120.00°
Space group R-3m (No. 166, hexagonal axes)
Asymmetric unit:
Li (0.0000, 0.0000, 0.2390) [6 per cell]
Cd (0.0000, 0.0000, 0.0000) [3 per cell]
Ni (0.0000, 0.0000, 0.5000) [3 per cell]

Calculated values
* energy relative to the elements: 47 meV/atom

3.
Density functional theory data (PBEsol) for LiCdNi2 after structural relaxation.

a = 3.625 Å, b = 3.625 Å, c = 7.707 Å
α = 90.00°, β = 90.00°, γ = 90.00°
Space group I4/mmm (No. 139)
Asymmetric unit:
Li (0.000, 0.000, 0.000) [2 per cell]
Cd (0.000, 0.000, 0.500) [2 per cell]
Ni (0.000, 0.500, 0.250) [4 per cell]

Calculated values
* energy relative to the elements: 27 meV/atom

4.
Density functional theory data (PBEsol) for Li2CdNi after structural relaxation.

a = 2.741 Å, b = 4.396 Å, c = 4.774 Å
α = 90.00°, β = 96.46°, γ = 90.00°
Space group P2/m (No. 10)
Asymmetric unit:
Li (0.218, 0.000, 0.272) [2 per cell]
Cd (0.500, 0.500, 0.000) [1 per cell]
Ni (0.000, 0.500, 0.500) [1 per cell]

Calculated values
* energy relative to the elements: -23 meV/atom

5.
Density functional theory data (PBEsol) for Li2CdNiPt after structural relaxation.

a = 4.241 Å, b = 4.241 Å, c = 4.630 Å
α = 90.00°, β = 90.00°, γ = 90.00°
Space group P4/mmm (No. 123)
Asymmetric unit:
Li (0.000, 0.500, 0.000) [2 per cell]
Cd (0.000, 0.000, 0.500) [1 per cell]
Ni (0.500, 0.500, 0.000) [1 per cell]
Pt (0.500, 0.500, 0.500) [1 per cell]

Calculated values
* energy relative to the elements: 214 meV/atom

6.
Density functional theory data (PBEsol) for Li2CdP4O12 after structural relaxation.

a = 9.515 Å, b = 9.442 Å, c = 10.124 Å
α = 90.00°, β = 90.00°, γ = 90.00°
Space group Pnma (No. 62)
Asymmetric unit:
Li (0.003, 0.105, 0.173) [8 per cell]
Cd (0.012, 0.250, 0.807) [4 per cell]
P (0.194, 0.750, 0.602) [4 per cell]
P (0.206, 0.532, 0.388) [8 per cell]
P (0.232, 0.250, 0.515) [4 per cell]
O (0.098, 0.750, 0.719) [4 per cell]
O (0.110, 0.750, 0.005) [4 per cell]
O (0.115, 0.561, 0.270) [8 per cell]
O (0.137, 0.049, 0.879) [8 per cell]
O (0.147, 0.618, 0.512) [8 per cell]
O (0.150, 0.250, 0.122) [4 per cell]
O (0.167, 0.250, 0.648) [4 per cell]
O (0.168, 0.125, 0.428) [8 per cell]

Calculated values
* formation energy from raw total energies: -2146 meV/atom

7.
Density functional theory data (PBEsol) for LiCd2RuO after structural relaxation.

a = 4.479 Å, b = 4.479 Å, c = 4.071 Å
α = 90.00°, β = 90.00°, γ = 90.00°
Space group P4/mmm (No. 123)
Asymmetric unit:
Li (0.000, 0.000, 0.000) [1 per cell]
Cd (0.000, 0.500, 0.000) [2 per cell]
Ru (0.000, 0.000, 0.500) [1 per cell]
O (0.500, 0.500, 0.500) [1 per cell]

Calculated values
* formation energy from raw total energies: 1068 meV/atom

8.
Density functional theory data (PBEsol) for Li2CdSiO4 after structural relaxation.

a = 10.716 Å, b = 6.473 Å, c = 5.109 Å
α = 90.00°, β = 90.00°, γ = 90.00°
Space group Pnma (No. 62)
Asymmetric unit:
Li (0.088, 0.001, 0.173) [8 per cell]
Cd (0.162, 0.250, 0.672) [4 per cell]
Si (0.158, 0.750, 0.667) [4 per cell]
O (0.089, 0.546, 0.792) [8 per cell]
O (0.145, 0.750, 0.345) [4 per cell]
O (0.191, 0.250, 0.242) [4 per cell]

Calculated values
* formation energy from raw total energies: -2202 meV/atom

Number 1: volume 112 Å³/cell, total DFT energy (no corrections) -2.870 eV/atom, DOS at the Fermi energy 3.20 states/eV/cell. Number 2: volume 177 Å³/cell, total DFT energy (no corrections) -2.775 eV/atom, DOS at the Fermi energy 6.75 states/eV/cell. Number 3: volume 101 Å³/cell, total DFT energy (no corrections) -3.842 eV/atom, DOS at the Fermi energy 6.64 states/eV/cell. Number 4: volume 57 Å³/cell, total DFT energy (no corrections) -2.845 eV/atom, DOS at the Fermi energy 1.52 states/eV/cell. Number 5: volume 83 Å³/cell, total DFT energy (no corrections) -3.436 eV/atom, DOS at the Fermi energy 2.86 states/eV/cell. Number 6: volume 910 Å³/cell, total DFT energy (no corrections) -6.951 eV/atom, DOS at the Fermi energy 0.00 states/eV/cell. Number 7: volume 82 Å³/cell, total DFT energy (no corrections) -2.888 eV/atom, DOS at the Fermi energy 2.83 states/eV/cell. Number 8: volume 354 Å³/cell, total DFT energy (no corrections) -6.187 eV/atom, DOS at the Fermi energy 0.00 states/eV/cell.